RbSmCrO4: optimized geometry, PBE+U.

a = 5.713 Å, b = 5.912 Å, c = 8.356 Å
α = 90.00°, β = 116.57°, γ = 90.00°
Last column: magnetic moment on the atom in μB.
Element x y z (fractional)
1 Rb 0.535 0.750 0.896  0.00
2 Rb 0.465 0.250 0.104  0.00
3 Sm 0.786 0.750 0.472  0.02
4 Sm 0.214 0.250 0.528  0.02
5 Cr 0.185 0.750 0.314  2.05
6 Cr 0.815 0.250 0.686  2.05
7 O 0.030 0.481 0.686  -0.02
8 O 0.970 0.981 0.314  -0.02
9 O 0.970 0.519 0.314  -0.02
10 O 0.030 0.019 0.686  -0.02
11 O 0.375 0.750 0.196  -0.04
12 O 0.625 0.250 0.804  -0.04
13 O 0.431 0.750 0.543  -0.01
14 O 0.569 0.250 0.457  -0.01

Calculated values
VASP energy ... -6.963 eV per atom